Entry 1:
## PmNdTcAu (PBE)

Data for a relaxed structure of PmNdTcAu.

abc: 7.2168 7.2168 7.2168
angles: 90.00 90.00 90.00
Space group F-43m (No. 216)
Asymmetric unit:
Pm1 0.0000 0.0000 0.0000
Nd1 0.0000 0.0000 0.5000
Tc1 0.2500 0.2500 0.2500
Au1 0.2500 0.2500 0.7500

Properties
total energy = -5.995 eV per atom
density = 10.324 Mg/m³
DFT formation energy = -205 meV/atom
total magnetization = 0.00 μB per formula unit

Entry 2:
## K2IrS (PBE)

Data for a relaxed structure of K2IrS.

abc: 12.2269 12.2269 4.3242
angles: 90.00 90.00 90.00
Space group I-42d (No. 122)
Asymmetric unit:
K1 0.0010 0.7500 0.1250
Ir1 0.0000 0.0000 0.5000
S1 0.0000 0.0000 0.0000

Properties
total energy = -4.073 eV per atom
density = 3.108 Mg/m³
total magnetization = 0.00 μB per formula unit